[1]
Material: Mg2GeF
Method: DFT, SCAN
State: PBEsol geometry

Unit cell a=4.5452 b=4.5452 c=4.5452 alpha=60.00 beta=60.00 gamma=60.00
With the nearest neighbours (Å) after each atom.
Fractional coordinates of all 4 atoms:
Mg 0.7500 0.7500 0.7500  4 Ge 2.78, 4 F 2.78
Mg 0.2500 0.2500 0.2500  4 F 2.78, 4 Ge 2.78
Ge 0.5000 0.5000 0.5000  8 Mg 2.78
F 0.0000 0.0000 0.0000  8 Mg 2.78

## Properties
final energy	-8.965	eV per atom
total magnetic moment	0.84	Bohr magnetons per cell
energy relative to the elements, uncorrected	-821.6	meV/atom

[2]
Material: MnGeNF2
Method: DFT, SCAN
State: PBEsol geometry

Unit cell a=3.7201 b=4.0658 c=4.0658 alpha=90.00 beta=90.00 gamma=90.00
With the nearest neighbours (Å) after each atom.
Fractional coordinates of all 5 atoms:
F 0.0000 0.5000 0.0000  2 Ge 2.03
F 0.0000 0.0000 0.5000  2 Ge 2.03
Mn 0.5000 0.5000 0.5000  8 F 2.76, 4 N 2.87
Ge 0.0000 0.0000 0.0000  2 N 1.86, 4 F 2.03
N 0.5000 0.0000 0.0000  2 Ge 1.86

## Properties
final energy	-11.474	eV per atom
total magnetic moment	4.81	Bohr magnetons per cell
energy relative to the elements, uncorrected	-730.7	meV/atom
relative energy among the computed polymorphs	1.31	eV per formula unit